LaPuAgPt after structural relaxation. Source: Alexandria via LeMat-Bulk, functional PBE.

Structure (POSCAR):
```
LaPuAgPt
1.0
7.312 0.000 0.000
0.000 7.312 0.000
0.000 0.000 7.312
La Pu Ag Pt
4 4 4 4
Direct
0.000 0.000 0.000
0.000 0.500 0.500
0.500 0.000 0.500
0.500 0.500 0.000
0.000 0.000 0.500
0.000 0.500 0.000
0.500 0.000 0.000
0.500 0.500 0.500
0.250 0.250 0.750
0.250 0.750 0.250
0.750 0.250 0.250
0.750 0.750 0.750
0.250 0.250 0.250
0.250 0.750 0.750
0.750 0.250 0.750
0.750 0.750 0.250
```

Computed properties:
Space-group type: No. 216
Calculated total energy (Ry/atom): -0.5523
Formation enthalpy at 0 K (meV/atom): -476